(i)
The following is a GGA-PBE calculation of a geometry-optimized Tb4Y5Tm2 structure, from the Alexandria database.

POSCAR file:
```
Tb4Y5Tm2
1.0
-3.229 -0.409 1.414
6.262 -5.980 3.655
-0.063 9.463 7.023
Y Tm Tb
5 2 4
direct
0.409 0.183 0.548
0.591 0.817 0.452
0.046 0.910 0.727
0.954 0.090 0.273
0.500 0.000 0.000
0.864 0.274 0.820
0.136 0.726 0.180
0.227 0.546 0.637
0.773 0.454 0.363
0.320 0.365 0.091
0.680 0.635 0.909
```

Computed properties:
* M_tot: 0.0 Bohr magnetons per cell
* symmetry: P-1, No. 2

=====

(ii)
The following is a GGA-PBE calculation of a geometry-optimized Tb4Y5Tm2 structure, from the Alexandria database.

POSCAR file:
```
Tb4Y5Tm2
1.0
-5.968 -0.112 -4.427
-3.892 -5.300 -0.856
-8.470 -0.262 5.188
Tb Tm Y
4 2 5
direct
0.670 0.780 0.879
0.330 0.220 0.121
0.683 0.133 0.501
0.317 0.867 0.499
0.856 0.166 0.122
0.144 0.834 0.878
0.791 0.641 0.219
0.651 0.359 0.781
0.000 0.500 0.500
0.349 0.641 0.219
0.209 0.359 0.781
```

Computed properties:
* M_tot: 0.0 Bohr magnetons per cell
* symmetry: C2/m, No. 12

=====

Q: Which of them is the least stable? A: (ii).